Record 1
## LaNdYS3 (GGA-PBE)

Data for a relaxed structure of LaNdYS3.

Summary:
- mass density (g/cm3) = 5.44
- magnetization (μB/cell) = 0.0
- raw formation energy (kJ/mol of formula units) = -1163

abc: 6.971 3.981 10.546
angles: 90.00 102.54 90.00
Space group P2_1/m (No. 11)
One atom of each set of equivalent atoms:
La 0.155 0.250 0.192 (multiplicity 2)
Nd 0.266 0.750 0.555 (multiplicity 2)
Y 0.374 0.250 0.870 (multiplicity 2)
S 0.050 0.250 0.670 (multiplicity 2)
S 0.231 0.750 0.000 (multiplicity 2)
S 0.446 0.750 0.337 (multiplicity 2)

=====

Record 2
## La2NdZnS5 (GGA-PBE)

Data for a relaxed structure of La2NdZnS5.

Summary:
- mass density (g/cm3) = 5.16
- magnetization (μB/cell) = 0.0
- raw formation energy (kJ/mol of formula units) = -1580

abc: 3.971 17.108 12.274
angles: 90.00 90.00 90.00
Space group Cmc2_1 (No. 36)
One atom of each set of equivalent atoms:
La 0.000 0.117 0.000 (multiplicity 4)
La 0.000 0.126 0.650 (multiplicity 4)
Nd 0.000 0.187 0.337 (multiplicity 4)
Zn 0.000 0.454 0.737 (multiplicity 4)
S 0.000 0.020 0.330 (multiplicity 4)
S 0.000 0.299 0.000 (multiplicity 4)
S 0.000 0.319 0.669 (multiplicity 4)
S 0.000 0.350 0.326 (multiplicity 4)
S 0.000 0.491 0.066 (multiplicity 4)

=====

Record 3
## LaNd5Sb5 (GGA-PBE)

Data for a relaxed structure of LaNd5Sb5.

Summary:
- mass density (g/cm3) = 6.28
- magnetization (μB/cell) = 0.0
- raw formation energy (kJ/mol of formula units) = -1081

abc: 14.207 6.384 9.017
angles: 90.00 108.38 90.00
Space group C2/m (No. 12)
One atom of each set of equivalent atoms:
La 0.000 0.000 0.000 (multiplicity 2)
Nd 0.000 0.000 0.500 (multiplicity 2)
Nd 0.167 0.500 0.333 (multiplicity 4)
Nd 0.168 0.500 0.836 (multiplicity 4)
Sb 0.000 0.500 0.000 (multiplicity 2)
Sb 0.168 0.000 0.338 (multiplicity 4)
Sb 0.169 0.000 0.830 (multiplicity 4)

=====

Record 4
## La2NdSb3 (GGA-PBE)

Data for a relaxed structure of La2NdSb3.

Summary:
- mass density (g/cm3) = 6.36
- magnetization (μB/cell) = 0.0
- raw formation energy (kJ/mol of formula units) = -722

abc: 4.597 6.493 13.771
angles: 90.00 90.00 90.00
Space group Immm (No. 71)
One atom of each set of equivalent atoms:
La 0.000 0.000 0.167 (multiplicity 4)
Nd 0.000 0.000 0.500 (multiplicity 2)
Sb 0.000 0.500 0.164 (multiplicity 4)
Sb 0.000 0.500 0.500 (multiplicity 2)

=====

Number 1: total energy -81.2 eV/cell. Number 2: total energy -211.6 eV/cell. Number 3: total energy -121.2 eV/cell. Number 4: total energy -68.9 eV/cell.